1.
# RbTi2InCo

A relaxed RbTi2InCo crystal (PBE-GGA, the Alexandria database).

Cell: 5.189 5.189 6.298 Å, 90.00 90.00 90.00°
Sites, in units of the cell vectors:
Rb (0.000, 0.000, 0.000)
Ti (0.000, 0.500, 0.500)
Ti (0.500, 0.000, 0.500)
In (0.000, 0.000, 0.500)
Co (0.500, 0.500, 0.000)

* calculated density: 3.5 g/cm³
* calculated volume: 169.6 Å³/cell
* density of states at the Fermi level: 1.56 states/eV/atom
* energy of formation: 1.76 eV/atom

2.
# RbTlIn2Co

A relaxed RbTlIn2Co crystal (PBE-GGA, the Alexandria database).

Cell: 5.119 5.119 5.230 Å, 90.00 90.00 90.00°
Sites, in units of the cell vectors:
Rb (0.000, 0.000, 0.000)
Tl (0.500, 0.500, 0.000)
In (0.000, 0.500, 0.500)
In (0.500, 0.000, 0.500)
Co (0.500, 0.500, 0.500)

* calculated density: 7.0 g/cm³
* calculated volume: 137.1 Å³/cell
* density of states at the Fermi level: 0.68 states/eV/atom
* energy of formation: 0.03 eV/atom

3.
# RbTl2InCo

A relaxed RbTl2InCo crystal (PBE-GGA, the Alexandria database).

Cell: 5.240 5.240 5.129 Å, 90.00 90.00 90.00°
Sites, in units of the cell vectors:
Rb (0.000, 0.000, 0.000)
Tl (0.000, 0.500, 0.500)
Tl (0.500, 0.000, 0.500)
In (0.500, 0.500, 0.000)
Co (0.500, 0.500, 0.500)

* calculated density: 7.9 g/cm³
* calculated volume: 140.8 Å³/cell
* density of states at the Fermi level: 0.66 states/eV/atom
* energy of formation: 0.07 eV/atom

4.
# RbZn2InCo

A relaxed RbZn2InCo crystal (PBE-GGA, the Alexandria database).

Cell: 4.890 4.890 4.973 Å, 90.00 90.00 90.00°
Sites, in units of the cell vectors:
Rb (0.000, 0.000, 0.000)
Zn (0.000, 0.500, 0.500)
Zn (0.500, 0.000, 0.500)
In (0.500, 0.500, 0.000)
Co (0.500, 0.500, 0.500)

* calculated density: 5.4 g/cm³
* calculated volume: 118.9 Å³/cell
* density of states at the Fermi level: 0.38 states/eV/atom
* energy of formation: 0.09 eV/atom

5.
# In2CoRe

A relaxed In2CoRe crystal (PBE-GGA, the Alexandria database).

Cell: 8.936 8.936 8.936 Å, 19.22 19.22 19.22°
Sites, in units of the cell vectors:
In (0.245, 0.245, 0.245)
In (0.755, 0.755, 0.755)
Co (0.500, 0.500, 0.500)
Re (0.000, 0.000, 0.000)

* calculated density: 11.7 g/cm³
* calculated volume: 67.6 Å³/cell
* relative energy among the computed polymorphs: 21.96 kJ per mole of atoms
* density of states at the Fermi level: 1.10 states/eV/atom
* energy of formation: 0.53 eV/atom

6.
# InCo2Re

A relaxed InCo2Re crystal (PBE-GGA, the Alexandria database).

Cell: 5.529 5.529 5.529 Å, 104.10 104.10 120.85°
Sites, in units of the cell vectors:
In (0.000, 0.000, 0.000)
In (0.750, 0.250, 0.500)
Co (0.165, 0.625, 0.040)
Co (0.375, 0.415, 0.540)
Co (0.585, 0.125, 0.960)
Co (0.875, 0.835, 0.460)
Re (0.250, 0.750, 0.500)
Re (0.500, 0.500, 0.000)

* calculated density: 11.0 g/cm³
* calculated volume: 126.2 Å³/cell
* density of states at the Fermi level: 1.49 states/eV/atom
* energy of formation: 0.75 eV/atom

7.
# In2CoRe

A relaxed In2CoRe crystal (PBE-GGA, the Alexandria database).

Cell: 4.555 4.555 4.555 Å, 60.00 60.00 60.00°
Sites, in units of the cell vectors:
In (0.250, 0.250, 0.250)
In (0.750, 0.750, 0.750)
Co (0.000, 0.000, 0.000)
Re (0.500, 0.500, 0.500)

* calculated density: 11.8 g/cm³
* calculated volume: 66.8 Å³/cell
* relative energy among the computed polymorphs: 27.26 kJ per mole of atoms
* density of states at the Fermi level: 1.51 states/eV/atom
* energy of formation: 0.58 eV/atom

8.
# In2CoRe

A relaxed In2CoRe crystal (PBE-GGA, the Alexandria database).

Cell: 4.972 4.972 4.972 Å, 131.32 131.32 71.30°
Sites, in units of the cell vectors:
In (0.250, 0.750, 0.500)
In (0.750, 0.250, 0.500)
Co (0.000, 0.000, 0.000)
Re (0.500, 0.500, 0.000)

* calculated density: 11.6 g/cm³
* calculated volume: 67.8 Å³/cell
* relative energy among the computed polymorphs: 28.41 kJ per mole of atoms
* density of states at the Fermi level: 1.35 states/eV/atom
* energy of formation: 0.59 eV/atom